<one>
Below is IrPt2Rh at its PBEsol-relaxed geometry, with properties calculated at the meta-GGA SCAN level.

POSCAR file:
```
IrPt2Rh
1.0
-2.706 0.249 -0.303
0.785 -0.944 4.555
0.424 4.703 0.084
Pt Rh Ir
2 1 1
Direct
0.248 0.496 0.748
0.003 0.006 0.004
0.496 0.992 0.493
0.753 0.505 0.255
```

As for the space group: Cm, No. 8.


<two>
Below is IrPt2Rh at its PBEsol-relaxed geometry, with properties calculated at the meta-GGA SCAN level.

POSCAR file:
```
IrPt2Rh
1.0
2.722 0.000 0.000
0.000 2.722 0.000
0.000 0.000 7.763
Rh Ir Pt
1 1 2
Direct
0.000 0.000 0.509
0.500 0.500 0.741
0.000 0.000 0.993
0.500 0.500 0.257
```

As for the space group: P4mm, No. 99.


Most favorable structure: <two>. The second most favorable one is 28 meV per atom above it.


<one>
Below is IrPt2Rh at its PBEsol-relaxed geometry, with properties calculated at the meta-GGA SCAN level.

POSCAR file:
```
IrPt2Rh
1.0
-0.738 -1.781 -3.346
3.726 -0.966 -0.308
-2.186 -1.900 3.723
Pt Rh Ir
2 1 1
Direct
0.250 0.750 0.500
0.750 0.250 0.500
0.500 0.500 0.000
0.000 0.000 0.000
```

As for the space group: I4/mmm, No. 139.


<two>
Below is IrPt2Rh at its PBEsol-relaxed geometry, with properties calculated at the meta-GGA SCAN level.

POSCAR file:
```
IrPt2Rh
1.0
-3.223 -1.712 1.240
1.751 -3.429 -0.181
1.921 2.982 3.120
Pt Rh Ir
2 1 1
Direct
0.750 0.250 0.500
0.000 0.000 0.000
0.500 0.500 0.000
0.250 0.750 0.500
```

As for the space group: I-4m2, No. 119.


<three>
Below is IrPt2Rh at its PBEsol-relaxed geometry, with properties calculated at the meta-GGA SCAN level.

POSCAR file:
```
IrPt2Rh
1.0
2.741 0.000 0.000
1.370 2.374 0.000
1.370 0.791 8.829
Pt Ir Rh
2 1 1
Direct
0.250 0.250 0.251
0.750 0.750 0.749
0.000 0.000 0.000
0.500 0.500 0.500
```

As for the space group: R-3m, No. 166.


<four>
Below is IrPt2Rh at its PBEsol-relaxed geometry, with properties calculated at the meta-GGA SCAN level.

POSCAR file:
```
IrPt2Rh
1.0
2.689 0.005 0.000
-0.051 4.637 0.000
-1.319 -2.321 4.691
Pt Ir Rh
2 1 1
Direct
0.500 0.500 0.500
0.000 0.000 0.500
0.500 0.500 0.000
0.000 0.000 0.000
```

As for the space group: C2/m, No. 12.


Most favorable structure: <two>. The second most favorable one is 27 meV per atom above it.


<one>
Below is IrPt2Rh at its PBEsol-relaxed geometry, with properties calculated at the meta-GGA SCAN level.

POSCAR file:
```
IrPt2Rh
1.0
-2.339 -0.561 1.296
0.909 -4.606 -0.355
1.835 1.670 4.033
Pt Rh Ir
2 1 1
Direct
0.000 0.000 0.000
0.500 0.000 0.500
0.500 0.500 0.000
0.000 0.500 0.500
```

As for the space group: P2/m, No. 10.


<two>
Below is IrPt2Rh at its PBEsol-relaxed geometry, with properties calculated at the meta-GGA SCAN level.

POSCAR file:
```
IrPt2Rh
1.0
2.730 0.000 0.000
0.000 3.850 0.000
0.000 0.000 5.462
Pt Ir Rh
2 1 1
Direct
0.500 0.500 0.254
0.000 0.000 0.995
0.500 0.500 0.743
0.000 0.000 0.508
```

As for the space group: Pmm2, No. 25.


Most favorable structure: <two>. The second most favorable one is 32 meV per atom above it.


<one>
Below is IrPt2Rh at its PBEsol-relaxed geometry, with properties calculated at the meta-GGA SCAN level.

POSCAR file:
```
IrPt2Rh
1.0
2.735 0.000 0.000
0.000 4.712 0.012
0.000 -1.550 4.450
Ir Pt Rh
1 2 1
Direct
0.500 0.500 0.500
0.000 0.500 0.000
0.000 0.000 0.500
0.500 0.000 0.000
```

As for the space group: Cmmm, No. 65.


<two>
Below is IrPt2Rh at its PBEsol-relaxed geometry, with properties calculated at the meta-GGA SCAN level.

POSCAR file:
```
IrPt2Rh
1.0
-1.197 -1.470 1.962
1.398 -1.961 1.280
2.788 4.777 7.177
Pt Rh Ir
2 1 1
Direct
0.998 0.998 0.005
0.752 0.752 0.744
0.502 0.502 0.494
0.248 0.248 0.257
```

As for the space group: R3m, No. 160.


<three>
Below is IrPt2Rh at its PBEsol-relaxed geometry, with properties calculated at the meta-GGA SCAN level.

POSCAR file:
```
IrPt2Rh
1.0
-3.141 -2.944 -0.697
0.442 -2.948 -3.183
0.682 -4.192 0.990
Ir Pt Rh
1 2 1
Direct
0.000 0.000 0.000
0.250 0.250 0.250
0.750 0.750 0.750
0.500 0.500 0.500
```

As for the space group: Fm-3m, No. 225.


<four>
Below is IrPt2Rh at its PBEsol-relaxed geometry, with properties calculated at the meta-GGA SCAN level.

POSCAR file:
```
IrPt2Rh
1.0
-0.873 2.151 -1.451
-2.536 -1.030 -0.001
-1.529 3.761 6.497
Rh Pt Ir
1 2 1
Direct
0.500 0.500 0.000
0.000 0.000 0.250
0.000 0.000 0.750
0.500 0.500 0.500
```

As for the space group: P4/mmm, No. 123.


Most favorable structure: <two>. The second most favorable one is 35 meV per atom above it.


<one>
Below is Ir2PtRh at its PBEsol-relaxed geometry, with properties calculated at the meta-GGA SCAN level.

POSCAR file:
```
Ir2PtRh
1.0
2.716 0.001 -0.001
1.359 2.352 -0.001
1.354 0.782 8.853
Ir Rh Pt
2 1 1
Direct
0.000 0.000 0.000
0.748 0.748 0.756
0.252 0.252 0.245
0.500 0.500 0.499
```

As for the space group: R3m, No. 160.


<two>
Below is Ir2PtRh at its PBEsol-relaxed geometry, with properties calculated at the meta-GGA SCAN level.

POSCAR file:
```
Ir2PtRh
1.0
2.719 0.000 0.000
1.359 2.354 0.000
1.359 0.785 8.832
Ir Rh Pt
2 1 1
Direct
0.748 0.748 0.756
0.252 0.252 0.244
0.000 0.000 0.000
0.500 0.500 0.500
```

As for the space group: R-3m, No. 166.


<three>
Below is Ir2PtRh at its PBEsol-relaxed geometry, with properties calculated at the meta-GGA SCAN level.

POSCAR file:
```
Ir2PtRh
1.0
2.719 0.000 0.000
0.000 4.695 0.002
0.000 -1.568 4.425
Ir Pt Rh
2 1 1
Direct
0.000 0.000 0.500
0.000 0.500 0.000
0.500 0.000 0.000
0.500 0.500 0.500
```

As for the space group: Cmmm, No. 65.


<four>
Below is Ir2PtRh at its PBEsol-relaxed geometry, with properties calculated at the meta-GGA SCAN level.

POSCAR file:
```
Ir2PtRh
1.0
2.716 0.000 0.000
-1.358 4.494 0.001
0.000 -0.814 4.627
Pt Ir Rh
1 2 1
Direct
0.501 0.002 0.499
0.253 0.507 0.759
0.999 0.997 0.996
0.747 0.494 0.247
```

As for the space group: Cm, No. 8.


Most favorable structure: <one>. The second most favorable one is 9 meV per atom above it.


<one>
Below is IrPtRh2 at its PBEsol-relaxed geometry, with properties calculated at the meta-GGA SCAN level.

POSCAR file:
```
IrPtRh2
1.0
2.704 0.000 0.000
0.000 3.816 0.000
0.000 0.000 5.411
Rh Pt Ir
2 1 1
Direct
0.000 0.000 0.757
0.000 0.000 0.243
0.500 0.500 0.500
0.500 0.500 0.000
```

As for the space group: Pmmm, No. 47.


<two>
Below is IrPtRh2 at its PBEsol-relaxed geometry, with properties calculated at the meta-GGA SCAN level.

POSCAR file:
```
IrPtRh2
1.0
-1.560 0.934 3.358
-3.134 -1.987 -0.903
3.876 -2.604 0.354
Rh Pt Ir
2 1 1
Direct
0.250 0.750 0.500
0.750 0.250 0.500
0.000 0.000 0.000
0.500 0.500 0.000
```

As for the space group: I4/mmm, No. 139.


Most favorable structure: <one>. The second most favorable one is 11 meV per atom above it.